# 1
VASP calculation (PBE) on a geometry-optimized LiZn2Te structure.

Output
formation energy from raw total energies = -0.184 eV per atom
ρ = 5.25 g/cm³

Lattice parameters (Å, degrees): 3.054 4.295 6.396 90.00 90.00 90.00
Atoms (fractional coordinates):
Te1 0.500 0.500 0.674
Zn1 0.500 0.500 0.188
Zn2 0.000 0.000 0.106
Li1 0.000 0.000 0.531


# 2
VASP calculation (PBE) on a geometry-optimized OsPt2Pb structure.

Output
calculated formation energy = 2.158 eV per formula unit
ρ = 18.28 g/cm³

Lattice parameters (Å, degrees): 9.578 9.578 9.578 17.78 17.78 17.78
Atoms (fractional coordinates):
Os1 0.509 0.509 0.509
Pt1 0.993 0.993 0.993
Pt2 0.247 0.247 0.247
Pb1 0.751 0.751 0.751


# 3
VASP calculation (PBE) on a geometry-optimized PmThSe2S structure.

Output
formation energy from raw total energies = -1.662 eV per atom
ρ = 7.27 g/cm³

Lattice parameters (Å, degrees): 4.198 4.198 14.701 90.00 90.00 90.00
Atoms (fractional coordinates):
Se1 0.000 0.500 0.115
S1 0.000 0.000 0.500
Se2 0.000 0.500 0.706
Th1 0.000 0.500 0.903
Th2 0.500 0.000 0.097
Se3 0.500 0.000 0.294
S2 0.500 0.500 0.500
Pm1 0.500 0.000 0.626
Se4 0.500 0.000 0.885
Pm2 0.000 0.500 0.374


# 4
VASP calculation (PBE) on a geometry-optimized Sm2DyTl structure.

Output
energy relative to the lowest polymorph listed for this composition = 3.6 kJ/mol of atoms
calculated formation energy = -0.609 eV per formula unit
ρ = 8.90 g/cm³

Lattice parameters (Å, degrees): 3.645 3.645 9.377 90.00 90.00 90.00
Atoms (fractional coordinates):
Tl1 0.500 0.500 0.000
Dy1 0.500 0.500 0.500
Sm1 0.000 0.000 0.769
Sm2 0.000 0.000 0.231


# 5
VASP calculation (PBE) on a geometry-optimized BaPmSe2 structure.

Output
energy relative to the lowest polymorph listed for this composition = 6.1 kJ/mol of atoms
formation energy from raw total energies = -1.850 eV per atom
ρ = 5.90 g/cm³

Lattice parameters (Å, degrees): 4.295 4.295 8.141 74.71 74.71 60.00
Atoms (fractional coordinates):
Ba1 0.496 0.496 0.511
Se1 0.261 0.261 0.217
Se2 0.073 0.073 0.780
Pm1 0.669 0.669 0.992


# 6
VASP calculation (PBE) on a geometry-optimized Sr2TmGa3Pd4 structure.

Output
calculated formation energy = -7.383 eV per formula unit
ρ = 7.48 g/cm³

Lattice parameters (Å, degrees): 4.412 4.412 11.162 90.00 90.00 90.00
Atoms (fractional coordinates):
Sr1 0.500 0.000 0.230
Pd1 0.000 0.500 0.349
Ga1 0.000 0.500 0.117
Sr2 0.000 0.500 0.770
Ga2 0.000 0.000 0.500
Ga3 0.500 0.000 0.883
Pd2 0.000 0.000 0.000
Tm1 0.500 0.500 0.500
Pd3 0.500 0.000 0.651
Pd4 0.500 0.500 0.000